This record from Alexandria describes a geometry-optimized SrVP2Ir structure. The functional is PBE.

## Properties
E_tot = -4.02 eV per atom
Calculated formation energy = 2.081 eV per atom
Calculated volume = 27.5 Å³/atom
Space group = P4/mmm (123)
Magnetic moment = 2.4 Bohr magnetons per cell

Cell lengths 5.215, 5.062, 5.215 Å; angles 90.00, 90.00, 90.00 degrees
Each line ends with the local moment (μB).
Fractional positions:
Sr1 0.000 0.000 0.000  0.01
Ir1 0.000 0.500 0.000  0.69
P1 0.000 0.000 0.500  0.09
P2 0.500 0.000 0.000  0.10
V1 0.500 0.500 0.500  -2.90

This record from Alexandria describes a geometry-optimized BiRhF3 structure. The functional is PBE.

## Properties
E_tot = -4.30 eV per atom
Calculated volume = 19.3 Å³/atom
Raw formation energy = -90 kJ/mol of atoms
Space group = Pm-3m (221)
Magnetic moment = 1.2 Bohr magnetons per cell
Distance to the lowest polymorph of the same formula = 0.0 meV/atom

Cell lengths 4.589, 4.589, 4.589 Å; angles 90.00, 90.00, 90.00 degrees
Each line ends with the local moment (μB).
Fractional positions:
Rh1 0.500 0.500 0.500  1.11
Bi1 0.000 0.000 0.000  -0.04
F1 0.000 0.500 0.000  -0.01
F2 0.000 0.000 0.500  -0.01
F3 0.500 0.000 0.000  0.00

This record from Alexandria describes a geometry-optimized CePuCdIn structure. The functional is PBE.

## Properties
E_tot = -6.11 eV per atom
Calculated formation energy = -0.127 eV per atom
Calculated volume = 27.8 Å³/atom
Space group = F-43m (216)
Magnetic moment = 7.3 Bohr magnetons per cell
Distance to the lowest polymorph of the same formula = 79.2 meV/atom

Cell lengths 5.400, 5.400, 5.400 Å; angles 60.00, 60.00, 60.00 degrees
Each line ends with the local moment (μB).
Fractional positions:
Cd1 0.250 0.250 0.250  0.03
In1 0.750 0.750 0.750  -0.04
Ce1 0.000 0.000 0.000  0.93
Pu1 0.500 0.500 0.500  5.55

This record from Alexandria describes a geometry-optimized InTePt2 structure. The functional is PBE.

## Properties
E_tot = -4.61 eV per atom
Calculated volume = 23.4 Å³/atom
Raw formation energy = -12 kJ/mol of atoms
Space group = I-42d (122)
Magnetic moment = 0.0 Bohr magnetons per cell
Distance to the lowest polymorph of the same formula = 164.7 meV/atom

Cell lengths 4.782, 4.782, 8.854 Å; angles 74.33, 74.33, 90.00 degrees
Fractional positions:
Te1 0.000 0.000 0.000
Te2 0.750 0.250 0.500
Pt1 0.657 0.125 0.250
Pt2 0.093 0.625 0.250
Pt3 0.375 0.343 0.750
Pt4 0.875 0.907 0.750
In1 0.500 0.500 0.000
In2 0.250 0.750 0.500

This record from Alexandria describes a geometry-optimized BaScS3 structure. The functional is PBE.

## Properties
E_tot = -5.88 eV per atom
Calculated volume = 25.6 Å³/atom
Raw formation energy = -169 kJ/mol of atoms
Space group = Cmce (64)
Magnetic moment = 0.0 Bohr magnetons per cell

Cell lengths 6.877, 8.792, 8.792 Å; angles 105.56, 90.00, 90.00 degrees
Fractional positions:
Ba1 0.250 0.608 0.392
Ba2 0.750 0.392 0.608
Ba3 0.250 0.108 0.892
Ba4 0.750 0.892 0.108
Sc1 0.723 0.365 0.135
Sc2 0.223 0.135 0.365
Sc3 0.277 0.635 0.865
Sc4 0.777 0.865 0.635
S1 0.250 0.369 0.631
S2 0.250 0.869 0.131
S3 0.550 0.211 0.289
S4 0.050 0.289 0.211
S5 0.450 0.789 0.711
S6 0.750 0.631 0.369
S7 0.879 0.047 0.453
S8 0.121 0.953 0.547
S9 0.750 0.131 0.869
S10 0.950 0.711 0.789
S11 0.621 0.547 0.953
S12 0.379 0.453 0.047

This record from Alexandria describes a geometry-optimized SeS2ClF structure. The functional is PBE.

## Properties
E_tot = -2.29 eV per atom
Calculated volume = 19.7 Å³/atom
Raw formation energy = 77 kJ/mol of atoms
Space group = P4/mmm (123)
Magnetic moment = 0.0 Bohr magnetons per cell
Distance to the lowest polymorph of the same formula = 232.8 meV/atom

Cell lengths 4.121, 4.121, 5.807 Å; angles 90.00, 90.00, 90.00 degrees
Fractional positions:
S1 0.000 0.500 0.000
S2 0.500 0.000 0.000
F1 0.000 0.000 0.000
Se1 0.500 0.500 0.500
Cl1 0.000 0.000 0.500

This record from Alexandria describes a geometry-optimized TaIr3Au structure. The functional is PBE.

## Properties
E_tot = -6.82 eV per atom
Calculated formation energy = 1.525 eV per atom
Calculated volume = 21.6 Å³/atom
Space group = Pm-3m (221)
Magnetic moment = 0.0 Bohr magnetons per cell

Cell lengths 4.762, 4.762, 4.762 Å; angles 90.00, 90.00, 90.00 degrees
Fractional positions:
Ir1 0.000 0.500 0.000
Ir2 0.000 0.000 0.500
Ir3 0.500 0.000 0.000
Au1 0.500 0.500 0.500
Ta1 0.000 0.000 0.000

This record from Alexandria describes a geometry-optimized LiMgBr structure. The functional is PBE.

## Properties
E_tot = -2.42 eV per atom
Calculated volume = 23.8 Å³/atom
Raw formation energy = -67 kJ/mol of atoms
Space group = P3m1 (156)
Magnetic moment = 0.0 Bohr magnetons per cell
Distance to the lowest polymorph of the same formula = 116.5 meV/atom

Cell lengths 3.681, 3.681, 6.096 Å; angles 90.00, 90.00, 120.00 degrees
Fractional positions:
Br1 0.000 0.000 0.040
Li1 0.333 0.667 0.286
Mg1 0.667 0.333 0.674

This record from Alexandria describes a geometry-optimized BeTl2W structure. The functional is PBE.

## Properties
E_tot = -4.52 eV per atom
Calculated formation energy = 0.829 eV per atom
Calculated volume = 19.8 Å³/atom
Space group = Cm (8)
Magnetic moment = 0.0 Bohr magnetons per cell
Distance to the lowest polymorph of the same formula = 151.7 meV/atom

Cell lengths 5.862, 5.862, 5.005 Å; angles 74.15, 74.15, 28.70 degrees
Fractional positions:
Be1 0.198 0.198 0.246
Tl1 0.993 0.993 0.045
Tl2 0.775 0.775 0.689
W1 0.534 0.534 0.521

This record from Alexandria describes a geometry-optimized CdHgRhAu structure. The functional is PBE.

## Properties
E_tot = -2.94 eV per atom
Calculated formation energy = 0.024 eV per atom
Calculated volume = 18.3 Å³/atom
Space group = F-43m (216)
Magnetic moment = 0.0 Bohr magnetons per cell

Cell lengths 4.694, 4.694, 4.694 Å; angles 60.00, 60.00, 60.00 degrees
Fractional positions:
Rh1 0.500 0.500 0.500
Au1 0.000 0.000 0.000
Hg1 0.250 0.250 0.250
Cd1 0.750 0.750 0.750

This record from Alexandria describes a geometry-optimized NpAl4 structure. The functional is PBE.

## Properties
E_tot = -4.00 eV per atom
Calculated formation energy = 1.582 eV per atom
Calculated volume = 33.7 Å³/atom
Space group = Pm-3m (221)
Magnetic moment = 6.2 Bohr magnetons per cell
Distance to the lowest polymorph of the same formula = 1678.2 meV/atom

Cell lengths 5.523, 5.523, 5.523 Å; angles 90.00, 90.00, 90.00 degrees
Each line ends with the local moment (μB).
Fractional positions:
Np1 0.500 0.500 0.500  4.54
Al1 0.000 0.000 0.000  0.03
Al2 0.500 0.000 0.500  0.10
Al3 0.000 0.500 0.500  0.10
Al4 0.500 0.500 0.000  0.10

This record from Alexandria describes a geometry-optimized MgTa2Mn structure. The functional is PBE.

## Properties
E_tot = -8.21 eV per atom
Calculated formation energy = 0.406 eV per atom
Calculated volume = 17.2 Å³/atom
Space group = F-43m (216)
Magnetic moment = 1.5 Bohr magnetons per cell

Cell lengths 4.597, 4.597, 4.597 Å; angles 60.00, 60.00, 60.00 degrees
Each line ends with the local moment (μB).
Fractional positions:
Mg1 0.500 0.500 0.500  -0.01
Mn1 0.750 0.750 0.750  2.69
Ta1 0.000 0.000 0.000  -0.53
Ta2 0.250 0.250 0.250  -0.30

This record from Alexandria describes a geometry-optimized HoTh2Sc3 structure. The functional is PBE.

## Properties
E_tot = -6.37 eV per atom
Calculated formation energy = 0.028 eV per atom
Calculated volume = 28.2 Å³/atom
Space group = P4/mmm (123)
Magnetic moment = 0.0 Bohr magnetons per cell
Distance to the lowest polymorph of the same formula = 0.0 meV/atom

Cell lengths 3.478, 3.478, 13.993 Å; angles 90.00, 90.00, 90.00 degrees
Fractional positions:
Ho1 0.500 0.500 0.500
Th1 0.500 0.500 0.833
Th2 0.500 0.500 0.167
Sc1 0.000 0.000 0.000
Sc2 0.000 0.000 0.669
Sc3 0.000 0.000 0.331